(1)
Material: NaZrHg3Se4
Method: DFT, GGA-PBE
State: relaxed

a b c (Å): 6.9166 6.9166 6.9166
angles (deg): 90.00 90.00 90.00
With the nearest neighbours (Å) after each atom.
Fractional coordinates of all 9 atoms:
Na  0.0000  0.0000  0.0000  4 Se 3.39
Zr  0.5000  0.5000  0.5000  4 Se 2.60
Hg  0.0000  0.5000  0.5000  4 Se 2.89
Hg  0.5000  0.0000  0.5000  4 Se 2.89
Hg  0.5000  0.5000  0.0000  4 Se 2.89
Se  0.2833  0.2833  0.2833  1 Zr 2.60, 3 Hg 2.89
Se  0.2833  0.7167  0.7167  1 Zr 2.60, 3 Hg 2.89
Se  0.7167  0.2833  0.7167  1 Zr 2.60, 3 Hg 2.89
Se  0.7167  0.7167  0.2833  1 Zr 2.60, 3 Hg 2.89

Electronic total energy = -3.181 eV/atom



(2)
Material: ErInCu
Method: DFT, GGA-PBE
State: relaxed

a b c (Å): 4.7925 4.7925 4.7925
angles (deg): 60.00 60.00 60.00
With the nearest neighbours (Å) after each atom.
Fractional coordinates of all 3 atoms:
Er  0.0000  0.0000  0.0000  4 Cu 2.93, 4 In 2.93
In  0.2500  0.2500  0.2500  4 Er 2.93
Cu  0.7500  0.7500  0.7500  4 Er 2.93

Electronic total energy = -3.368 eV/atom



(3)
Material: TlAgTePtS2
Method: DFT, GGA-PBE
State: relaxed

a b c (Å): 7.8264 7.8264 10.9779
angles (deg): 90.00 90.00 153.84
With the nearest neighbours (Å) after each atom.
Fractional coordinates of all 12 atoms:
Tl  0.2057  0.7943  0.7500  2 Ag 3.03, 2 Te 3.23, 2 S 3.32
Tl  0.7943  0.2057  0.2500  2 Ag 3.03, 2 Te 3.23, 2 S 3.32
Ag  0.1330  0.8670  0.2500  2 S 2.58
Ag  0.8670  0.1330  0.7500  2 S 2.58
Te  0.4711  0.5289  0.2500  2 Pt 2.78, 2 Ag 3.04
Te  0.5289  0.4711  0.7500  2 Pt 2.78, 2 Ag 3.04
Pt  0.5000  0.5000  0.0000  4 S 2.40
Pt  0.5000  0.5000  0.5000  4 S 2.40
S  0.1056  0.8944  0.0181  2 Pt 2.40, 1 Ag 2.58
S  0.1056  0.8944  0.4819  2 Pt 2.40, 1 Ag 2.58
S  0.8944  0.1056  0.5181  2 Pt 2.40, 1 Ag 2.58
S  0.8944  0.1056  0.9819  2 Pt 2.40, 1 Ag 2.58

Electronic total energy = -3.966 eV/atom



(4)
Material: LiHgTeIr
Method: DFT, GGA-PBE
State: relaxed

a b c (Å): 4.7132 4.7132 4.7132
angles (deg): 60.00 60.00 60.00
With the nearest neighbours (Å) after each atom.
Fractional coordinates of all 4 atoms:
Li  0.0000  0.0000  0.0000  4 Hg 2.89, 4 Te 2.89
Hg  0.7500  0.7500  0.7500  4 Ir 2.89, 4 Li 2.89
Te  0.2500  0.2500  0.2500  4 Ir 2.89, 4 Li 2.89
Ir  0.5000  0.5000  0.5000  4 Hg 2.89, 4 Te 2.89

Energy relative to the lowest polymorph listed for this composition = 0.000 eV/f.u.



(5)
Material: Hf2GaRe
Method: DFT, GGA-PBE
State: relaxed

a b c (Å): 4.6323 4.6323 4.6323
angles (deg): 60.00 60.00 60.00
With the nearest neighbours (Å) after each atom.
Fractional coordinates of all 4 atoms:
Hf  0.0000  0.0000  0.0000  4 Re 2.84, 4 Hf 2.84
Hf  0.2500  0.2500  0.2500  4 Hf 2.84, 4 Ga 2.84
Ga  0.5000  0.5000  0.5000  4 Re 2.84, 4 Hf 2.84
Re  0.7500  0.7500  0.7500  4 Hf 2.84, 4 Ga 2.84

Electronic total energy = -8.920 eV/atom



(6)
Material: Ho3Al3SiNiGe
Method: DFT, GGA-PBE
State: relaxed

a b c (Å): 6.8774 6.8774 4.1405
angles (deg): 90.00 90.00 120.00
With the nearest neighbours (Å) after each atom.
Fractional coordinates of all 9 atoms:
Ho  0.0746  0.3357  0.0000  1 Ni 2.80, 2 Si 2.93, 2 Ge 2.95
Ho  0.2611  0.9254  0.0000  1 Ni 2.80, 2 Si 2.93, 2 Ge 2.95
Ho  0.6643  0.7389  0.0000  1 Ni 2.80, 2 Si 2.93, 2 Ge 2.95
Al  0.4378  0.3359  0.5000  2 Ni 2.61, 1 Si 2.71, 1 Ge 2.73, 2 Al 2.74
Al  0.6641  0.1019  0.5000  2 Ni 2.61, 1 Si 2.71, 1 Ge 2.73, 2 Al 2.74
Al  0.8981  0.5622  0.5000  2 Ni 2.61, 1 Si 2.71, 1 Ge 2.73, 2 Al 2.74
Si  0.3333  0.6667  0.5000  3 Al 2.71, 6 Ho 2.93
Ni  0.6667  0.3333  0.0000  6 Al 2.61, 3 Ho 2.80
Ge  0.0000  0.0000  0.5000  3 Al 2.73, 6 Ho 2.95

Electronic total energy = -5.245 eV/atom



(7)
Material: GdEr2Mg3ZnIn2
Method: DFT, GGA-PBE
State: relaxed

a b c (Å): 4.5615 7.4788 7.4788
angles (deg): 120.59 90.00 90.00
With the nearest neighbours (Å) after each atom.
Fractional coordinates of all 9 atoms:
Gd  0.0000  0.0000  0.0000  1 Zn 3.11, 4 In 3.22, 2 Mg 3.44
Er  0.0000  0.4148  0.8299  1 Zn 3.09, 4 In 3.19
Er  0.0000  0.8299  0.4148  1 Zn 3.09, 4 In 3.19
Mg  0.5000  0.1805  0.4161  2 Zn 2.89, 2 In 2.91-2.92, 2 Mg 3.04-3.06
Mg  0.5000  0.4161  0.1805  2 Zn 2.89, 2 In 2.91-2.92, 2 Mg 3.04-3.06
Mg  0.5000  0.6528  0.6528  2 Zn 2.86, 2 In 2.92, 2 Mg 3.04
Zn  0.0000  0.4200  0.4200  6 Mg 2.86-2.89, 2 Er 3.09, 1 Gd 3.11
In  0.5000  0.0831  0.7468  3 Mg 2.91-2.92, 4 Er 3.19, 2 Gd 3.22
In  0.5000  0.7468  0.0831  3 Mg 2.91-2.92, 4 Er 3.19, 2 Gd 3.22

Electronic total energy = -3.151 eV/atom



(8)
Material: KPrO3
Method: DFT, GGA-PBE
State: relaxed

a b c (Å): 6.2096 9.8130 6.3186
angles (deg): 90.00 90.00 90.00
With the nearest neighbours (Å) after each atom.
Fractional coordinates of all 20 atoms:
K  0.0000  0.0000  0.0000  4 O 2.56
K  0.0000  0.5000  0.0000  4 O 2.56
K  0.5000  0.0000  0.5000  4 O 2.56
K  0.5000  0.5000  0.5000  4 O 2.56
Pr  0.0249  0.2500  0.4651  6 O 2.37-2.39
Pr  0.4751  0.7500  0.9651  6 O 2.37-2.39
Pr  0.5249  0.2500  0.0349  6 O 2.37-2.39
Pr  0.9751  0.7500  0.5349  6 O 2.37-2.39
O  0.2001  0.7500  0.2302  2 Pr 2.38-2.39
O  0.2350  0.6306  0.7361  1 O 2.34, 2 Pr 2.37-2.38, 2 K 2.56
O  0.2350  0.8694  0.7361  1 O 2.34, 2 Pr 2.37-2.38, 2 K 2.56
O  0.2650  0.1306  0.2361  1 O 2.34, 2 Pr 2.37-2.38, 2 K 2.56
O  0.2650  0.3694  0.2361  1 O 2.34, 2 Pr 2.37-2.38, 2 K 2.56
O  0.2999  0.2500  0.7302  2 Pr 2.38-2.39
O  0.7001  0.7500  0.2698  2 Pr 2.38-2.39
O  0.7350  0.6306  0.7639  1 O 2.34, 2 Pr 2.37-2.38, 2 K 2.56
O  0.7350  0.8694  0.7639  1 O 2.34, 2 Pr 2.37-2.38, 2 K 2.56
O  0.7650  0.1306  0.2639  1 O 2.34, 2 Pr 2.37-2.38, 2 K 2.56
O  0.7650  0.3694  0.2639  1 O 2.34, 2 Pr 2.37-2.38, 2 K 2.56
O  0.7999  0.2500  0.7698  2 Pr 2.38-2.39

Electronic total energy = -5.810 eV/atom



(9)
Material: HoFeCu
Method: DFT, GGA-PBE
State: relaxed

a b c (Å): 4.3496 4.3496 4.3496
angles (deg): 60.00 60.00 60.00
With the nearest neighbours (Å) after each atom.
Fractional coordinates of all 3 atoms:
Ho  0.0000  0.0000  0.0000  4 Cu 2.66
Fe  0.5000  0.5000  0.5000  4 Cu 2.66
Cu  0.7500  0.7500  0.7500  4 Fe 2.66, 4 Ho 2.66

DFT formation energy = 336 meV/atom



(10)
Material: Pr2DyZn4Si4
Method: DFT, GGA-PBE
State: relaxed

a b c (Å): 12.7316 12.7316 12.7316
angles (deg): 161.34 161.15 26.64
With the nearest neighbours (Å) after each atom.
Fractional coordinates of all 11 atoms:
Pr  0.1439  0.1439  0.0000  6 Si 3.15-3.17, 8 Zn 3.19-3.36
Pr  0.8561  0.8561  0.0000  6 Si 3.15-3.17, 8 Zn 3.19-3.36
Dy  0.5000  0.0000  0.5000  4 Zn 3.09, 8 Si 3.15
Zn  0.2497  0.7497  0.5000  4 Si 2.54-2.55
Zn  0.4070  0.4070  0.0000  3 Si 2.38-2.41
Zn  0.5930  0.5930  0.0000  3 Si 2.38-2.41
Zn  0.7503  0.2503  0.5000  4 Si 2.54-2.55
Si  0.0469  0.5469  0.5000  1 Si 2.32, 2 Zn 2.38
Si  0.3097  0.3097  0.0000  5 Zn 2.41-2.55
Si  0.6903  0.6903  0.0000  5 Zn 2.41-2.55
Si  0.9531  0.4531  0.5000  1 Si 2.32, 2 Zn 2.38

Electronic total energy = -4.277 eV/atom



(11)
Material: NaDyHgSe3
Method: DFT, GGA-PBE
State: relaxed

a b c (Å): 8.2834 4.2287 17.3867
angles (deg): 90.00 90.00 90.00
With the nearest neighbours (Å) after each atom.
Fractional coordinates of all 24 atoms:
Na  0.0789  0.2500  0.1935  6 Se 3.13-3.24, 2 Hg 3.40
Na  0.4211  0.7500  0.6935  6 Se 3.13-3.24, 2 Hg 3.40
Na  0.5789  0.2500  0.3065  6 Se 3.13-3.24, 2 Hg 3.40
Na  0.9211  0.7500  0.8065  6 Se 3.13-3.24, 2 Hg 3.40
Dy  0.2225  0.2500  0.9627  7 Se 2.85-3.12
Dy  0.2775  0.7500  0.4627  7 Se 2.85-3.12
Dy  0.7225  0.2500  0.5373  7 Se 2.85-3.12
Dy  0.7775  0.7500  0.0373  7 Se 2.85-3.12
Hg  0.0506  0.2500  0.6662  4 Se 2.60-2.88
Hg  0.4494  0.7500  0.1662  4 Se 2.60-2.88
Hg  0.5506  0.2500  0.8338  4 Se 2.60-2.88
Hg  0.9494  0.7500  0.3338  4 Se 2.60-2.88
Se  0.0104  0.2500  0.4279  2 Hg 2.72
Se  0.1243  0.7500  0.0622  3 Dy 2.85-2.91, 2 Na 3.13
Se  0.2128  0.2500  0.7944  2 Hg 2.60-2.88
Se  0.2872  0.7500  0.2944  2 Hg 2.60-2.88
Se  0.3757  0.2500  0.5622  3 Dy 2.85-2.91, 2 Na 3.13
Se  0.4896  0.7500  0.9279  2 Hg 2.72
Se  0.5104  0.2500  0.0721  2 Hg 2.72
Se  0.6243  0.7500  0.4378  3 Dy 2.85-2.91, 2 Na 3.13
Se  0.7128  0.2500  0.7056  2 Hg 2.60-2.88
Se  0.7872  0.7500  0.2056  2 Hg 2.60-2.88
Se  0.8757  0.2500  0.9378  3 Dy 2.85-2.91, 2 Na 3.13
Se  0.9896  0.7500  0.5721  2 Hg 2.72

Energy relative to the lowest polymorph listed for this composition = 0.312 eV/f.u.



(12)
Material: CsUAg
Method: DFT, GGA-PBE
State: relaxed

a b c (Å): 5.1919 5.1919 5.1919
angles (deg): 60.00 60.00 60.00
With the nearest neighbours (Å) after each atom.
Fractional coordinates of all 3 atoms:
Cs  0.0000  0.0000  0.0000  4 U 3.18
U  0.7500  0.7500  0.7500  4 Ag 3.18, 4 Cs 3.18
Ag  0.5000  0.5000  0.5000  4 U 3.18

Energy relative to the lowest polymorph listed for this composition = 0.000 eV/f.u.